Compound: Ac4Th3CrN8
Source: the Alexandria database
Functional: GGA-PBE
Structure: relaxed

```
Ac4Th3CrN8
1.0
6.539 -3.652 0.000
6.539 3.652 0.000
-4.141 0.000 6.154
Ac Th Cr N
4 3 1 8
direct
0.000 0.000 0.000 Ac
0.000 0.500 0.000 Ac
0.500 0.000 0.000 Ac
0.500 0.500 0.000 Ac
0.000 0.000 0.500 Th
0.000 0.500 0.500 Th
0.500 0.000 0.500 Th
0.500 0.500 0.500 Cr
0.235 0.235 0.260 N
0.237 0.237 0.716 N
0.247 0.731 0.712 N
0.269 0.753 0.288 N
0.731 0.247 0.712 N
0.753 0.269 0.288 N
0.763 0.763 0.284 N
0.765 0.765 0.740 N
```

Output
Its volume is 293.91 Å³/cell. Its uncorrected formation energy is -1065 meV/atom. As for the space group: C2/m. The calculation puts the total energy at -8.2472 eV/atom.


Compound: MgOsSe2
Source: the Alexandria database
Functional: GGA-PBE
Structure: relaxed

```
MgOsSe2
1.0
3.115 0.000 0.000
0.000 4.026 0.000
0.000 0.000 11.933
Mg Os Se
2 2 4
direct
0.000 0.000 0.000 Mg
0.500 0.500 0.500 Mg
0.000 0.500 0.280 Os
0.500 0.000 0.780 Os
0.000 0.000 0.611 Se
0.000 0.500 0.839 Se
0.500 0.000 0.339 Se
0.500 0.500 0.111 Se
```

Output
Its volume is 149.64 Å³/cell. Its uncorrected formation energy is 38 meV/atom. As for the space group: Imm2. The calculation puts the total energy at -4.9102 eV/atom.